This record from Alexandria via LeMat-Bulk describes crystalline FeTc2 at its relaxed geometry. The functional is PBE-GGA.

Results
Total magnetization: 0.00 μB per atom
Formation energy: 0.076 eV/atom

a b c (Å): 9.6865 2.7002 6.2671
angles (deg): 90.00 103.80 90.00
Last column: nearest neighbours and their distance in Å.
Space group Cm (No. 8)
One atom of each set of equivalent atoms:
Fe (0.0000, 0.0000, 0.0000) (multiplicity 2)  8 Tc 2.53-2.74, 4 Fe 2.64-2.70
Fe (0.1621, 0.5000, 0.3272) (multiplicity 2)  8 Tc 2.52-2.70, 4 Fe 2.64-2.70
Tc (0.0580, 0.0000, 0.6004) (multiplicity 2)  3 Fe 2.57-2.69, 9 Tc 2.59-2.70
Tc (0.2112, 0.5000, 0.9497) (multiplicity 2)  4 Fe 2.52-2.74, 8 Tc 2.66-2.73
Tc (0.3321, 0.0000, 0.6620) (multiplicity 2)  8 Tc 2.59-2.73, 4 Fe 2.70
Tc (0.3886, 0.0000, 0.2660) (multiplicity 2)  5 Fe 2.57-2.68, 7 Tc 2.66-2.70

---

This record from Alexandria via LeMat-Bulk describes crystalline FeTc7 at its relaxed geometry. The functional is PBE-GGA.

Results
Total magnetization: 0.14 μB per atom
Formation energy: 0.097 eV/atom

a b c (Å): 7.7000 7.7000 7.7000
angles (deg): 90.00 90.00 90.00
Last column: nearest neighbours and their distance in Å.
Space group Fm-3m (No. 225)
One atom of each set of equivalent atoms:
Fe (0.0000, 0.0000, 0.0000) (multiplicity 4)  12 Tc 2.72
Tc (0.0000, 0.0000, 0.5000) (multiplicity 4)  12 Tc 2.72
Tc (0.0000, 0.2500, 0.2500) (multiplicity 24)  10 Tc 2.72, 2 Fe 2.72

---

This record from Alexandria via LeMat-Bulk describes crystalline FeTc3 at its relaxed geometry. The functional is PBE-GGA.

Results
Total magnetization: 0.32 μB per atom
Formation energy: 0.074 eV/atom

a b c (Å): 3.8039 3.8039 3.8039
angles (deg): 90.00 90.00 90.00
Last column: nearest neighbours and their distance in Å.
Space group Pm-3m (No. 221)
One atom of each set of equivalent atoms:
Fe (0.0000, 0.0000, 0.0000) (multiplicity 1)  12 Tc 2.69
Tc (0.0000, 0.5000, 0.5000) (multiplicity 3)  4 Fe 2.69, 8 Tc 2.69

---

This record from Alexandria via LeMat-Bulk describes crystalline Fe6Tc7 at its relaxed geometry. The functional is PBE-GGA.

Results
Total magnetization: 0.56 μB per atom
Formation energy: 0.371 eV/atom

a b c (Å): 4.9992 4.9992 25.8791
angles (deg): 90.00 90.00 120.00
Last column: nearest neighbours and their distance in Å.
Space group R-3m (No. 166, hexagonal axes)
One atom of each set of equivalent atoms:
Fe (0.0000, 0.0000, 0.0463) (multiplicity 6)  1 Fe 2.40
Fe (0.0000, 0.0000, 0.1523) (multiplicity 6)  4 Fe 2.74-2.98, 12 Tc 2.85-3.04
Fe (0.0000, 0.0000, 0.3353) (multiplicity 6)  6 Tc 2.61-2.67, 3 Fe 2.89
Tc (0.0000, 0.0000, 0.5000) (multiplicity 3)  6 Tc 2.57
Tc (0.0062, 0.5031, 0.9147) (multiplicity 18)  5 Tc 2.45-2.57, 4 Fe 2.61-2.70

---

This record from Alexandria via LeMat-Bulk describes crystalline FeTc3 at its relaxed geometry. The functional is PBE-GGA.

Results
Total magnetization: 0.36 μB per atom
Formation energy: 0.121 eV/atom

a b c (Å): 5.3745 7.6383 2.7049
angles (deg): 90.00 90.00 90.00
Last column: nearest neighbours and their distance in Å.
Space group Cmmm (No. 65)
One atom of each set of equivalent atoms:
Fe (0.0000, 0.0000, 0.0000) (multiplicity 2)  10 Tc 2.69-2.70, 2 Fe 2.70
Tc (0.0000, 0.5000, 0.0000) (multiplicity 2)  2 Fe 2.69, 10 Tc 2.70
Tc (0.2500, 0.2500, 0.5000) (multiplicity 4)  8 Tc 2.69-2.70, 4 Fe 2.70

---

This record from Alexandria via LeMat-Bulk describes crystalline Fe3Tc at its relaxed geometry. The functional is PBE-GGA.

Results
Total magnetization: 0.78 μB per atom
Formation energy: 0.172 eV/atom

a b c (Å): 5.0889 7.1799 2.5674
angles (deg): 90.00 90.00 90.00
Last column: nearest neighbours and their distance in Å.
Space group Cmmm (No. 65)
One atom of each set of equivalent atoms:
Fe (0.0000, 0.0000, 0.0000) (multiplicity 2)  2 Tc 2.54, 10 Fe 2.55-2.57
Fe (0.2500, 0.2500, 0.5000) (multiplicity 4)  8 Fe 2.54-2.57, 4 Tc 2.55
Tc (0.0000, 0.5000, 0.0000) (multiplicity 2)  10 Fe 2.54-2.55, 2 Tc 2.57